Entry 1:
A relaxed Tb2Nd5Mg crystal, computed with PBE.

Calculated values
ΔE_f, eV/atom: 0.0040
Polymorph energy (0 for the lowest one), eV per formula unit: 0.00
SG: I4/mmm, No. 139
Total energy, eV/atom: -4.33

abc: 7.217 7.218 7.164
angles: 120.24 120.24 90.01
Fractional coordinates of all 8 atoms:
Tb 0.222 0.722 0.444
Tb 0.722 0.222 0.444
Nd 0.722 0.222 0.944
Nd 0.222 0.222 0.944
Nd 0.722 0.722 0.944
Nd 0.222 0.722 0.944
Nd 0.722 0.722 0.445
Mg 0.222 0.222 0.444



Entry 2:
A relaxed Ba2NpZn2O6 crystal, computed with PBE.

Calculated values
Formation energy (no corrections), eV per atom: -2.22
SG: R-3m, No. 166
Total energy, eV/atom: -6.68

abc: 6.171 6.171 6.790
angles: 62.97 62.97 60.00
Fractional coordinates of all 11 atoms:
Ba 0.788 0.788 0.637
Ba 0.212 0.212 0.363
Np 0.000 0.000 0.000
Zn 0.421 0.421 0.736
Zn 0.579 0.579 0.264
O 0.759 0.759 0.254
O 0.228 0.759 0.254
O 0.759 0.228 0.254
O 0.241 0.772 0.746
O 0.772 0.241 0.746
O 0.241 0.241 0.746



Entry 3:
A relaxed GaPdOF2 crystal, computed with PBE.

Calculated values
Formation energy (no corrections), eV per atom: -1.23
Polymorph energy (0 for the lowest one), eV per formula unit: 0.00
SG: P4/mmm, No. 123
Total energy, eV/atom: -4.62

abc: 3.998 3.998 3.772
angles: 90.00 90.00 90.00
Fractional coordinates of all 5 atoms:
O 0.000 0.000 0.500
Ga 0.000 0.000 0.000
Pd 0.500 0.500 0.500
F 0.000 0.500 0.000
F 0.500 0.000 0.000



Entry 4:
A relaxed MnCoAg2 crystal, computed with PBE.

Calculated values
ΔE_f, eV/atom: 0.4122
Polymorph energy (0 for the lowest one), eV per formula unit: 0.69
SG: P2/m, No. 10
Total energy, eV/atom: -5.08

abc: 4.609 2.746 4.962
angles: 83.14 90.00 90.00
Fractional coordinates of all 4 atoms:
Ag 0.000 0.013 0.004
Ag 0.000 0.487 0.496
Co 0.500 0.250 0.250
Mn 0.500 0.750 0.750



Entry 5:
A relaxed Dy2Si4NiIr3 crystal, computed with PBE.

Calculated values
Formation energy (no corrections), eV per atom: -0.97
SG: P-4m2, No. 115
Total energy, eV/atom: -7.30

abc: 4.082 4.082 9.930
angles: 90.00 90.00 90.00
Fractional coordinates of all 10 atoms:
Dy 0.500 0.000 0.248
Dy 0.000 0.500 0.752
Si 0.500 0.500 0.000
Si 0.000 0.000 0.000
Si 0.500 0.000 0.629
Si 0.000 0.500 0.371
Ni 0.500 0.500 0.500
Ir 0.000 0.000 0.500
Ir 0.500 0.000 0.869
Ir 0.000 0.500 0.131



Entry 6:
A relaxed KCu4S2I crystal, computed with PBE.

Calculated values
Formation energy (no corrections), eV per atom: -0.36
SG: P4/mmm, No. 123
Total energy, eV/atom: -3.77

abc: 3.980 3.980 10.453
angles: 90.00 90.00 90.00
Fractional coordinates of all 8 atoms:
K 0.000 0.000 0.500
Cu 0.000 0.500 0.211
Cu 0.500 0.000 0.789
Cu 0.500 0.000 0.211
Cu 0.000 0.500 0.789
S 0.500 0.500 0.312
S 0.500 0.500 0.688
I 0.000 0.000 0.000